1.
Density functional theory data (GGA-PBE) for Sm2ErTmSe4 after structural relaxation.

Cell: 4.0321 7.0225 7.2693 Å, 108.65 90.00 90.00°
Last column: nearest neighbours and their distance in Å.
Element x y z (fractional)
Sm: 0.5000 0.0000 0.5000  6 Se 2.96
Sm: 0.0000 0.5000 0.5000  6 Se 2.96-2.97
Er: 0.5000 0.5000 0.0000  6 Se 2.85
Tm: 0.0000 0.0000 0.0000  6 Se 2.84
Se: 0.5000 0.2440 0.2352  2 Tm 2.84, 1 Er 2.85, 3 Sm 2.96
Se: 0.5000 0.7560 0.7648  2 Tm 2.84, 1 Er 2.85, 3 Sm 2.96
Se: 0.0000 0.2539 0.7641  1 Tm 2.84, 2 Er 2.85, 3 Sm 2.96-2.97
Se: 0.0000 0.7461 0.2359  1 Tm 2.84, 2 Er 2.85, 3 Sm 2.96-2.97

M_tot in μB per formula unit: 0.0
Calculated density in g/cm3: 8.1
ΔE_f (raw) in kcal/mol of atoms: -40.402

***

2.
Density functional theory data (GGA-PBE) for SmEr2TmSe4 after structural relaxation.

Cell: 4.0072 7.0214 7.1392 Å, 71.27 90.00 90.00°
Last column: nearest neighbours and their distance in Å.
Element x y z (fractional)
Sm: 0.5000 0.5000 0.0000  6 Se 2.93
Er: 0.0000 0.0000 0.0000  6 Se 2.89
Er: 0.5000 0.0000 0.5000  6 Se 2.83
Tm: 0.0000 0.5000 0.5000  6 Se 2.87
Se: 0.0000 0.7577 0.7407  3 Er 2.83-2.89, 1 Tm 2.87, 2 Sm 2.93
Se: 0.0000 0.2423 0.2593  3 Er 2.83-2.89, 1 Tm 2.87, 2 Sm 2.93
Se: 0.5000 0.7525 0.2558  3 Er 2.83-2.89, 2 Tm 2.87, 1 Sm 2.93
Se: 0.5000 0.2475 0.7442  3 Er 2.83-2.89, 2 Tm 2.87, 1 Sm 2.93

M_tot in μB per formula unit: 0.0
Calculated density in g/cm3: 8.5
ΔE_f (raw) in kcal/mol of atoms: -39.456

***

3.
Density functional theory data (GGA-PBE) for SmEr2TmSe6 after structural relaxation.

Cell: 7.1920 7.1920 7.6836 Å, 62.09 62.09 60.00°
Last column: nearest neighbours and their distance in Å.
Element x y z (fractional)
Sm: 0.8150 0.8150 0.5550  6 Se 2.89-2.98
Er: 0.5146 0.5146 0.4563  6 Se 2.83-2.88
Er: 0.0119 0.0120 0.9641  6 Se 2.81-2.88
Tm: 0.3190 0.3189 0.0431  6 Se 2.82-2.87
Se: 0.6087 0.2270 0.2478  1 Tm 2.82, 2 Er 2.83-2.88, 1 Sm 2.98
Se: 0.2269 0.9165 0.2478  1 Tm 2.82, 2 Er 2.83-2.88, 1 Sm 2.98
Se: 0.9166 0.6087 0.2479  1 Tm 2.82, 2 Er 2.83-2.88, 1 Sm 2.98
Se: 0.4025 0.7235 0.7510  2 Er 2.81-2.88, 1 Tm 2.87, 1 Sm 2.89
Se: 0.7235 0.1229 0.7511  2 Er 2.81-2.88, 1 Tm 2.87, 1 Sm 2.89
Se: 0.1229 0.4026 0.7511  2 Er 2.81-2.88, 1 Tm 2.87, 1 Sm 2.89

M_tot in μB per formula unit: 0.0
Calculated density in g/cm3: 6.5
ΔE_f (raw) in kcal/mol of atoms: -42.453

***

4.
Density functional theory data (GGA-PBE) for SmErTm2Se4 after structural relaxation.

Cell: 3.9979 7.1431 7.0035 Å, 71.34 90.00 90.00°
Last column: nearest neighbours and their distance in Å.
Element x y z (fractional)
Sm: 0.5000 0.5000 0.0000  6 Se 2.93
Er: 0.0000 0.5000 0.5000  6 Se 2.88-2.89
Tm: 0.0000 0.0000 0.0000  6 Se 2.86
Tm: 0.5000 0.0000 0.5000  6 Se 2.81-2.82
Se: 0.0000 0.7606 0.7410  3 Tm 2.81-2.86, 1 Er 2.89, 2 Sm 2.93
Se: 0.0000 0.2394 0.2590  3 Tm 2.81-2.86, 1 Er 2.89, 2 Sm 2.93
Se: 0.5000 0.7565 0.2532  3 Tm 2.82-2.86, 2 Er 2.88, 1 Sm 2.93
Se: 0.5000 0.2435 0.7468  3 Tm 2.82-2.86, 2 Er 2.88, 1 Sm 2.93

M_tot in μB per formula unit: 0.0
Calculated density in g/cm3: 8.5
ΔE_f (raw) in kcal/mol of atoms: -39.306

***

Which formula does entry 2 have? SmEr2TmSe4

***

ΔE_f (raw) of number 1 (Sm2ErTmSe4)? -40.402 kcal/mol of atoms